VASP calculation (GGA-PBE) on an optimized crystal structure of LiCa2AlRh.

Lattice parameters (Å, degrees): 5.4797 5.4797 4.7908 90.00 90.00 90.00
Atoms (fractional coordinates):
Li 0.0000 0.0000 0.0000
Ca 0.0000 0.5000 0.5000
Ca 0.5000 0.0000 0.5000
Al 0.5000 0.5000 0.0000
Rh 0.5000 0.5000 0.5000

Results
The value obtained for the formation energy is -0.239 eV per atom. The magnetic moment comes out at 0.00 μB/f.u. The volume comes out at 143.85 Å³/cell. Its space group is P4/mmm.

***

VASP calculation (GGA-PBE) on an optimized crystal structure of BaSr5Mg6.

Lattice parameters (Å, degrees): 9.4306 9.4306 8.3852 90.00 90.00 142.99
Atoms (fractional coordinates):
Ba 0.0000 0.0000 0.0000
Sr 0.0000 0.0000 0.5000
Sr 0.3324 0.6676 0.0000
Sr 0.3346 0.6654 0.5000
Sr 0.6654 0.3346 0.5000
Sr 0.6676 0.3324 0.0000
Mg 0.1685 0.8315 0.2554
Mg 0.1685 0.8315 0.7446
Mg 0.5000 0.5000 0.2544
Mg 0.5000 0.5000 0.7456
Mg 0.8315 0.1685 0.2554
Mg 0.8315 0.1685 0.7446

Results
The value obtained for the formation energy is -0.057 eV per atom. The magnetic moment comes out at 0.00 μB/f.u. The volume comes out at 448.92 Å³/cell. Its space group is Cmmm.